Record 1
# LaRh2Se

A relaxed LaRh2Se crystal (PBE, the Alexandria database).

Output
* theoretical density: 8.51 g/cm3
* V: 20.66 Å³/atom
* density of states at the Fermi level: 3.7 states/eV/cell

```
data_LaRh2Se
_chemical_formula_sum 'La1 Rh2 Se1'
_symmetry_space_group_name_H-M 'P 4 m m'
_symmetry_Int_Tables_number 99
_cell_length_a 4.171
_cell_length_b 4.171
_cell_length_c 4.752
_cell_angle_alpha 90.00
_cell_angle_beta 90.00
_cell_angle_gamma 90.00
loop_
_symmetry_equiv_pos_as_xyz
'x,y,z'
'-y,x,z'
'-x,-y,z'
'y,-x,z'
'-x,y,z'
'y,x,z'
'x,-y,z'
'-y,-x,z'
loop_
_atom_site_label
_atom_site_type_symbol
_atom_site_fract_x
_atom_site_fract_y
_atom_site_fract_z
_atom_site_occupancy
La1 La 0.000 0.000 0.000 1
Rh1 Rh 0.000 0.500 0.442 1
Se1 Se 0.500 0.500 0.711 1
```

Record 2
# LaRh2Se

A relaxed LaRh2Se crystal (PBE, the Alexandria database).

Output
* theoretical density: 9.23 g/cm3
* V: 19.06 Å³/atom
* density of states at the Fermi level: 6.8 states/eV/cell

```
data_LaRh2Se
_chemical_formula_sum 'La2 Rh4 Se2'
_symmetry_space_group_name_H-M 'I 4/m m m'
_symmetry_Int_Tables_number 139
_symmetry_space_group_name_Hall '-I 4 2'
_cell_length_a 4.231
_cell_length_b 4.231
_cell_length_c 8.519
_cell_angle_alpha 90.00
_cell_angle_beta 90.00
_cell_angle_gamma 90.00
loop_
_atom_site_label
_atom_site_type_symbol
_atom_site_fract_x
_atom_site_fract_y
_atom_site_fract_z
_atom_site_occupancy
La1 La 0.000 0.000 0.000 1
Rh1 Rh 0.000 0.500 0.250 1
Se1 Se 0.000 0.000 0.500 1
```

Record 3
# LaRhSe

A relaxed LaRhSe crystal (PBE, the Alexandria database).

Output
* theoretical density: 8.18 g/cm3
* V: 21.71 Å³/atom
* density of states at the Fermi level: 0.3 states/eV/cell

```
data_LaRhSe
_chemical_formula_sum 'La1 Rh1 Se1'
_symmetry_space_group_name_H-M 'P 3 m 1'
_symmetry_Int_Tables_number 156
_cell_length_a 4.3847
_cell_length_b 4.3847
_cell_length_c 3.9116
_cell_angle_alpha 90.00
_cell_angle_beta 90.00
_cell_angle_gamma 120.00
loop_
_symmetry_equiv_pos_as_xyz
'x,y,z'
'-y,x-y,z'
'-x+y,-x,z'
'-y,-x,z'
'-x+y,y,z'
'x,x-y,z'
loop_
_atom_site_label
_atom_site_type_symbol
_atom_site_fract_x
_atom_site_fract_y
_atom_site_fract_z
_atom_site_occupancy
La1 La 0.0000 0.0000 0.0000 1
Rh1 Rh 0.3333 0.6667 0.4738 1
Se1 Se 0.6667 0.3333 0.5114 1
```

Record 4
# La2RhSe

A relaxed La2RhSe crystal (PBE, the Alexandria database).

Output
* theoretical density: 7.52 g/cm3
* V: 25.37 Å³/atom
* density of states at the Fermi level: 5.1 states/eV/cell

```
data_La2RhSe
_chemical_formula_sum 'La4 Rh2 Se2'
_symmetry_space_group_name_H-M 'I m m 2'
_symmetry_Int_Tables_number 44
_cell_length_a 3.924
_cell_length_b 4.308
_cell_length_c 12.007
_cell_angle_alpha 90.00
_cell_angle_beta 90.00
_cell_angle_gamma 90.00
loop_
_symmetry_equiv_pos_as_xyz
'x,y,z'
'-x,-y,z'
'-x,y,z'
'x,-y,z'
'x+1/2,y+1/2,z+1/2'
'-x+1/2,-y+1/2,z+1/2'
'-x+1/2,y+1/2,z+1/2'
'x+1/2,-y+1/2,z+1/2'
loop_
_atom_site_label
_atom_site_type_symbol
_atom_site_fract_x
_atom_site_fract_y
_atom_site_fract_z
_atom_site_occupancy
La1 La 0.000 0.000 0.000 1
La2 La 0.000 0.500 0.233 1
Rh1 Rh 0.000 0.500 0.728 1
Se1 Se 0.000 0.000 0.432 1
```

Record 5
# La2RhSe

A relaxed La2RhSe crystal (PBE, the Alexandria database).

Output
* theoretical density: 8.21 g/cm3
* V: 23.23 Å³/atom
* density of states at the Fermi level: 17.5 states/eV/cell

```
data_La2RhSe
_chemical_formula_sum 'La8 Rh4 Se4'
_symmetry_space_group_name_H-M 'F -4 3 m'
_symmetry_Int_Tables_number 216
_symmetry_space_group_name_Hall 'F -4 2 3'
_cell_length_a 7.190
_cell_length_b 7.190
_cell_length_c 7.190
_cell_angle_alpha 90.00
_cell_angle_beta 90.00
_cell_angle_gamma 90.00
loop_
_atom_site_label
_atom_site_type_symbol
_atom_site_fract_x
_atom_site_fract_y
_atom_site_fract_z
_atom_site_occupancy
La1 La 0.000 0.000 0.000 1
La2 La 0.250 0.250 0.250 1
Rh1 Rh 0.000 0.000 0.500 1
Se1 Se 0.250 0.250 0.750 1
```

Record 6
# La5RhSe4

A relaxed La5RhSe4 crystal (PBE, the Alexandria database).

Output
* theoretical density: 6.56 g/cm3
* V: 28.18 Å³/atom
* density of states at the Fermi level: 12.3 states/eV/cell

```
data_La5RhSe4
_chemical_formula_sum 'La10 Rh2 Se8'
_symmetry_space_group_name_H-M 'I 4/m m m'
_symmetry_Int_Tables_number 139
_symmetry_space_group_name_Hall '-I 4 2'
_cell_length_a 4.317
_cell_length_b 4.317
_cell_length_c 30.246
_cell_angle_alpha 90.00
_cell_angle_beta 90.00
_cell_angle_gamma 90.00
loop_
_atom_site_label
_atom_site_type_symbol
_atom_site_fract_x
_atom_site_fract_y
_atom_site_fract_z
_atom_site_occupancy
La1 La 0.000 0.000 0.000 1
La2 La 0.000 0.000 0.202 1
La3 La 0.000 0.000 0.406 1
Rh1 Rh 0.000 0.000 0.500 1
Se1 Se 0.000 0.000 0.101 1
Se2 Se 0.000 0.000 0.304 1
```

Across the entries above, formation energy from raw total energies takes the values -0.736; -0.520; -1.304; -1.049; -0.452; -1.728 eV/atom, respectively.